No. 1
Below is a relaxed structure of LaCoN2, with properties calculated at the PBE-GGA level.

Lattice parameters (Å, degrees): 4.0356 4.0356 15.7274 90.00 90.00 120.00
Last column: nearest neighbours and their distance in Å.
Atoms (fractional coordinates):
1 La 0.0000 0.0000 0.0000  6 N 2.52
2 La 0.3333 0.6667 0.6667  6 N 2.52
3 La 0.6667 0.3333 0.3333  6 N 2.52
4 Co 0.0000 0.0000 0.5000  2 N 1.66
5 Co 0.3333 0.6667 0.1667  2 N 1.66
6 Co 0.6667 0.3333 0.8333  2 N 1.66
7 N 0.0000 0.0000 0.3943  1 Co 1.66
8 N 0.0000 0.0000 0.6057  1 Co 1.66
9 N 0.3333 0.6667 0.0610  1 Co 1.66
10 N 0.3333 0.6667 0.2723  1 Co 1.66
11 N 0.6667 0.3333 0.7277  1 Co 1.66
12 N 0.6667 0.3333 0.9390  1 Co 1.66

Properties
Space-group type: R-3m (166)
Calculated total energy, eV for the cell shown: -89.2
Fermi-level density of states, states/eV/f.u.: 4.31
Crystal system: trigonal
Formation energy without anion corrections, eV per atom: -0.263

***

No. 2
Below is a relaxed structure of CsNiSN2, with properties calculated at the PBE-GGA level.

Lattice parameters (Å, degrees): 4.1957 4.1957 6.7241 90.00 90.00 90.00
Last column: nearest neighbours and their distance in Å.
Atoms (fractional coordinates):
1 Cs 0.0000 0.0000 0.0000  4 N 2.10
2 Ni 0.5000 0.5000 0.5000  4 S 2.97
3 S 0.0000 0.0000 0.5000  4 Ni 2.97
4 N 0.0000 0.5000 0.0000  2 Cs 2.10
5 N 0.5000 0.0000 0.0000  2 Cs 2.10

Properties
Space-group type: P4/mmm (123)
Calculated total energy, eV for the cell shown: -13.5
Fermi-level density of states, states/eV/f.u.: 7.98
Crystal system: tetragonal
Formation energy without anion corrections, eV per atom: 2.791

***

No. 3
Below is a relaxed structure of Ac3Pr3Y4, with properties calculated at the PBE-GGA level.

Lattice parameters (Å, degrees): 3.7836 10.0238 10.0238 89.42 90.00 90.00
Last column: nearest neighbours and their distance in Å.
Atoms (fractional coordinates):
1 Ac 0.0000 0.0000 0.0000  6 Y 3.54-3.64, 2 Ac 3.78
2 Ac 0.5000 0.3268 0.8251  4 Ac 3.78-4.16, 4 Y 3.89-4.10, 6 Pr 4.12-4.19
3 Ac 0.5000 0.8251 0.3268  4 Ac 3.78-4.16, 4 Y 3.89-4.10, 6 Pr 4.12-4.19
4 Pr 0.0000 0.1523 0.5021  6 Y 3.44-3.55, 2 Pr 3.78
5 Pr 0.0000 0.5021 0.1523  6 Y 3.44-3.55, 2 Pr 3.78
6 Pr 0.0000 0.6481 0.6481  6 Y 3.43-3.52, 2 Pr 3.78
7 Y 0.5000 0.2101 0.2101  1 Y 3.38, 4 Pr 3.53, 2 Ac 3.54
8 Y 0.5000 0.4470 0.4470  1 Y 3.38, 6 Pr 3.43-3.55
9 Y 0.5000 0.6968 0.9396  3 Y 3.42-3.78, 4 Pr 3.44-3.52, 2 Ac 3.64
10 Y 0.5000 0.9396 0.6968  3 Y 3.42-3.78, 4 Pr 3.44-3.52, 2 Ac 3.64

Properties
Space-group type: Amm2 (38)
Calculated total energy, eV for the cell shown: -51.7
Formation energy from the elements, eV/atom: 0.084
Fermi-level density of states, states/eV/f.u.: 11.86
Crystal system: orthorhombic

***

No. 4
Below is a relaxed structure of Ca2Zn3Ga4Cu, with properties calculated at the PBE-GGA level.

Lattice parameters (Å, degrees): 4.2354 4.2354 10.7583 90.00 90.00 90.00
Last column: nearest neighbours and their distance in Å.
Atoms (fractional coordinates):
1 Ca 0.0000 0.5000 0.2432  6 Zn 3.25-3.37, 8 Ga 3.25-3.48, 2 Cu 3.37
2 Ca 0.5000 0.0000 0.7568  6 Zn 3.25-3.37, 8 Ga 3.25-3.48, 2 Cu 3.37
3 Zn 0.0000 0.0000 0.0000  4 Ga 2.52
4 Zn 0.0000 0.5000 0.6405  5 Ga 2.51-2.60
5 Zn 0.5000 0.0000 0.3594  5 Ga 2.51-2.60
6 Ga 0.0000 0.0000 0.5000  4 Zn 2.60
7 Ga 0.0000 0.5000 0.8734  3 Zn 2.51-2.52, 2 Cu 2.52
8 Ga 0.5000 0.0000 0.1266  3 Zn 2.51-2.52, 2 Cu 2.52
9 Ga 0.5000 0.5000 0.5000  4 Zn 2.60
10 Cu 0.5000 0.5000 0.0000  4 Ga 2.52

Properties
Space-group type: P-4m2 (115)
Calculated total energy, eV for the cell shown: -27.2
Formation energy from the elements, eV/atom: -0.319
Fermi-level density of states, states/eV/f.u.: 5.52
Crystal system: tetragonal

***

No. 5
Below is a relaxed structure of NdGdGaAg, with properties calculated at the PBE-GGA level.

Lattice parameters (Å, degrees): 7.3811 7.3811 7.3811 90.00 90.00 90.00
Last column: nearest neighbours and their distance in Å.
Atoms (fractional coordinates):
1 Nd 0.0000 0.0000 0.0000  4 Ga 3.20, 4 Ag 3.20
2 Nd 0.0000 0.5000 0.5000  4 Ga 3.20, 4 Ag 3.20
3 Nd 0.5000 0.0000 0.5000  4 Ga 3.20, 4 Ag 3.20
4 Nd 0.5000 0.5000 0.0000  4 Ga 3.20, 4 Ag 3.20
5 Gd 0.0000 0.0000 0.5000  4 Ga 3.20, 4 Ag 3.20
6 Gd 0.0000 0.5000 0.0000  4 Ga 3.20, 4 Ag 3.20
7 Gd 0.5000 0.0000 0.0000  4 Ga 3.20, 4 Ag 3.20
8 Gd 0.5000 0.5000 0.5000  4 Ga 3.20, 4 Ag 3.20
9 Ga 0.2500 0.2500 0.2500  4 Gd 3.20, 4 Nd 3.20
10 Ga 0.2500 0.7500 0.7500  4 Gd 3.20, 4 Nd 3.20
11 Ga 0.7500 0.2500 0.7500  4 Gd 3.20, 4 Nd 3.20
12 Ga 0.7500 0.7500 0.2500  4 Gd 3.20, 4 Nd 3.20
13 Ag 0.2500 0.2500 0.7500  4 Gd 3.20, 4 Nd 3.20
14 Ag 0.2500 0.7500 0.2500  4 Gd 3.20, 4 Nd 3.20
15 Ag 0.7500 0.2500 0.2500  4 Gd 3.20, 4 Nd 3.20
16 Ag 0.7500 0.7500 0.7500  4 Gd 3.20, 4 Nd 3.20

Properties
Space-group type: F-43m (216)
Calculated total energy, eV for the cell shown: -105.8
Formation energy from the elements, eV/atom: -0.434
Fermi-level density of states, states/eV/f.u.: 4.02
Crystal system: cubic

***

No. 6
Below is a relaxed structure of CaYFe2, with properties calculated at the PBE-GGA level.

Lattice parameters (Å, degrees): 3.3342 3.3342 8.0372 90.00 90.00 90.00
Last column: nearest neighbours and their distance in Å.
Atoms (fractional coordinates):
1 Ca 0.0000 0.0000 0.0000  5 Fe 3.00-3.15, 4 Ca 3.33
2 Y 0.5000 0.5000 0.6068  5 Fe 2.79-3.01
3 Fe 0.0000 0.0000 0.3733  4 Fe 2.53
4 Fe 0.5000 0.5000 0.2599  4 Fe 2.53, 1 Y 2.79

Properties
Space-group type: P4mm (99)
Calculated total energy, eV for the cell shown: -24.5
Formation energy from the elements, eV/atom: 0.226
Fermi-level density of states, states/eV/f.u.: 3.49
Crystal system: tetragonal

***

No. 7
Below is a relaxed structure of La6ZnRh, with properties calculated at the PBE-GGA level.

Lattice parameters (Å, degrees): 6.9666 6.9674 7.8829 90.06 116.19 119.96
Last column: nearest neighbours and their distance in Å.
Atoms (fractional coordinates):
1 La 0.0228 0.0777 0.2420  1 Rh 2.85, 1 Zn 3.02
2 La 0.2962 0.7190 0.2416  1 Rh 2.85, 1 Zn 3.02
3 La 0.3349 0.5541 0.7579  1 Rh 2.85, 1 Zn 3.02
4 La 0.6651 0.4459 0.2421  1 Rh 2.85, 1 Zn 3.02
5 La 0.7038 0.2810 0.7584  1 Rh 2.85, 1 Zn 3.02
6 La 0.9772 0.9223 0.7580  1 Rh 2.85, 1 Zn 3.02
7 Zn 0.5000 0.0000 0.0000  6 La 3.02
8 Rh 0.5000 0.5000 0.5000  6 La 2.85

Properties
Space-group type: P-1 (2)
Calculated total energy, eV for the cell shown: -39.3
Formation energy from the elements, eV/atom: -0.136
Fermi-level density of states, states/eV/f.u.: 12.42
Crystal system: triclinic

***

No. 8
Below is a relaxed structure of EuGdTlGa, with properties calculated at the PBE-GGA level.

Lattice parameters (Å, degrees): 7.5923 7.5923 7.5923 90.00 90.00 90.00
Last column: nearest neighbours and their distance in Å.
Atoms (fractional coordinates):
1 Eu 0.0000 0.0000 0.0000  4 Tl 3.29, 4 Ga 3.29
2 Eu 0.0000 0.5000 0.5000  4 Tl 3.29, 4 Ga 3.29
3 Eu 0.5000 0.0000 0.5000  4 Tl 3.29, 4 Ga 3.29
4 Eu 0.5000 0.5000 0.0000  4 Tl 3.29, 4 Ga 3.29
5 Gd 0.0000 0.0000 0.5000  4 Ga 3.29, 4 Tl 3.29
6 Gd 0.0000 0.5000 0.0000  4 Ga 3.29, 4 Tl 3.29
7 Gd 0.5000 0.0000 0.0000  4 Ga 3.29, 4 Tl 3.29
8 Gd 0.5000 0.5000 0.5000  4 Ga 3.29, 4 Tl 3.29
9 Tl 0.2500 0.2500 0.2500  4 Gd 3.29, 4 Eu 3.29
10 Tl 0.2500 0.7500 0.7500  4 Gd 3.29, 4 Eu 3.29
11 Tl 0.7500 0.2500 0.7500  4 Gd 3.29, 4 Eu 3.29
12 Tl 0.7500 0.7500 0.2500  4 Gd 3.29, 4 Eu 3.29
13 Ga 0.2500 0.2500 0.7500  4 Gd 3.29, 4 Eu 3.29
14 Ga 0.2500 0.7500 0.2500  4 Gd 3.29, 4 Eu 3.29
15 Ga 0.7500 0.2500 0.2500  4 Gd 3.29, 4 Eu 3.29
16 Ga 0.7500 0.7500 0.7500  4 Gd 3.29, 4 Eu 3.29

Properties
Space-group type: F-43m (216)
Calculated total energy, eV for the cell shown: -125.7
Formation energy from the elements, eV/atom: -0.420
Fermi-level density of states, states/eV/f.u.: 8.48
Crystal system: cubic

***

No. 9
Below is a relaxed structure of TlInSe3, with properties calculated at the PBE-GGA level.

Lattice parameters (Å, degrees): 7.2811 7.2811 10.9899 94.90 94.90 32.41
Last column: nearest neighbours and their distance in Å.
Atoms (fractional coordinates):
1 Tl 0.0696 0.0696 0.3086  3 Se 2.62-2.72
2 Tl 0.9304 0.9304 0.6914  3 Se 2.62-2.72
3 In 0.3334 0.3334 0.1121  5 Se 2.69-2.85
4 In 0.6666 0.6666 0.8879  5 Se 2.69-2.85
5 Se 0.1257 0.1257 0.7264  1 Tl 2.72, 2 In 2.72
6 Se 0.1411 0.1411 0.0643  3 In 2.69-2.85, 1 Tl 2.95
7 Se 0.3461 0.3461 0.5763  2 Tl 2.62
8 Se 0.6540 0.6540 0.4237  2 Tl 2.62
9 Se 0.8589 0.8589 0.9357  3 In 2.69-2.85, 1 Tl 2.95
10 Se 0.8743 0.8743 0.2736  1 Tl 2.72, 2 In 2.72

Properties
Space-group type: C2/m (12)
Calculated total energy, eV for the cell shown: -33.8
Fermi-level density of states, states/eV/f.u.: 0.71
Crystal system: monoclinic
Formation energy without anion corrections, eV per atom: -0.268

***

No. 10
Below is a relaxed structure of La6Te5Au, with properties calculated at the PBE-GGA level.

Lattice parameters (Å, degrees): 7.8944 7.8944 7.8940 99.66 99.66 119.88
Last column: nearest neighbours and their distance in Å.
Atoms (fractional coordinates):
1 La 0.0796 0.4031 0.7414  1 Au 3.12, 5 Te 3.23-3.26
2 La 0.2406 0.2406 0.2520  1 Au 3.15, 5 Te 3.23-3.30
3 La 0.4031 0.0796 0.7414  1 Au 3.12, 5 Te 3.23-3.26
4 La 0.5969 0.9204 0.2586  1 Au 3.12, 5 Te 3.23-3.26
5 La 0.7594 0.7594 0.7480  1 Au 3.15, 5 Te 3.23-3.30
6 La 0.9204 0.5969 0.2586  1 Au 3.12, 5 Te 3.23-3.26
7 Te 0.1733 0.8267 0.0000  6 La 3.23-3.26
8 Te 0.3352 0.6648 0.5000  6 La 3.23
9 Te 0.5000 0.5000 0.0000  6 La 3.23-3.30
10 Te 0.6648 0.3352 0.5000  6 La 3.23
11 Te 0.8267 0.1733 0.0000  6 La 3.23-3.26
12 Au 0.0000 0.0000 0.5000  6 La 3.12-3.15

Properties
Space-group type: C2/m (12)
Calculated total energy, eV for the cell shown: -66.1
Fermi-level density of states, states/eV/f.u.: 7.07
Crystal system: monoclinic
Formation energy without anion corrections, eV per atom: -1.463

***

No. 11
Below is a relaxed structure of NiAg3I4, with properties calculated at the PBE-GGA level.

Lattice parameters (Å, degrees): 6.4649 6.4649 12.8870 90.00 90.00 90.00
Last column: nearest neighbours and their distance in Å.
Atoms (fractional coordinates):
1 Ni 0.0000 0.0000 0.0000  4 I 2.59
2 Ni 0.5000 0.5000 0.5000  4 I 2.59
3 Ag 0.0000 0.0000 0.5000  4 I 2.88
4 Ag 0.0000 0.5000 0.2500  4 I 2.87
5 Ag 0.0000 0.5000 0.7500  4 I 2.87
6 Ag 0.5000 0.0000 0.2500  4 I 2.87
7 Ag 0.5000 0.0000 0.7500  4 I 2.87
8 Ag 0.5000 0.5000 0.0000  4 I 2.88
9 I 0.2308 0.2308 0.8836  1 Ni 2.59, 3 Ag 2.87-2.88
10 I 0.2308 0.7692 0.1164  1 Ni 2.59, 3 Ag 2.87-2.88
11 I 0.2692 0.2692 0.3836  1 Ni 2.59, 3 Ag 2.87-2.88
12 I 0.2692 0.7308 0.6164  1 Ni 2.59, 3 Ag 2.87-2.88
13 I 0.7308 0.2692 0.6164  1 Ni 2.59, 3 Ag 2.87-2.88
14 I 0.7308 0.7308 0.3836  1 Ni 2.59, 3 Ag 2.87-2.88
15 I 0.7692 0.2308 0.1164  1 Ni 2.59, 3 Ag 2.87-2.88
16 I 0.7692 0.7692 0.8836  1 Ni 2.59, 3 Ag 2.87-2.88

Properties
Space-group type: I-42m (121)
Calculated total energy, eV for the cell shown: -42.8
Fermi-level density of states, states/eV/f.u.: 8.47
Crystal system: tetragonal
Formation energy without anion corrections, eV per atom: -0.107

***

No. 12
Below is a relaxed structure of Mg2IrOs, with properties calculated at the PBE-GGA level.

Lattice parameters (Å, degrees): 3.0184 4.6493 8.8036 90.00 90.00 90.00
Last column: nearest neighbours and their distance in Å.
Atoms (fractional coordinates):
1 Mg 0.0000 0.0000 0.2464  2 Ir 2.64, 2 Os 2.70, 4 Mg 2.77
2 Mg 0.0000 0.0000 0.7536  2 Ir 2.64, 2 Os 2.70, 4 Mg 2.77
3 Mg 0.5000 0.5000 0.2464  2 Ir 2.64, 2 Os 2.70, 4 Mg 2.77
4 Mg 0.5000 0.5000 0.7536  2 Ir 2.64, 2 Os 2.70, 4 Mg 2.77
5 Ir 0.0000 0.5000 0.0000  4 Mg 2.64, 4 Ir 2.77
6 Ir 0.5000 0.0000 0.0000  4 Mg 2.64, 4 Ir 2.77
7 Os 0.0000 0.5000 0.5000  4 Mg 2.70, 6 Os 2.77-3.02
8 Os 0.5000 0.0000 0.5000  4 Mg 2.70, 6 Os 2.77-3.02

Properties
Space-group type: Cmmm (65)
Calculated total energy, eV for the cell shown: -46.2
Formation energy from the elements, eV/atom: 0.047
Fermi-level density of states, states/eV/f.u.: 3.54
Crystal system: orthorhombic